Below is a crystal of Hf3MnRe relaxed with PBEsol, with properties calculated at the SCAN level.

## Properties
* symmetry: No. 221
* DFT formation energy: 761 meV/atom

Geometry as POSCAR:
```
Hf3MnRe
1.0
-0.099 4.411 -1.243
-3.034 0.868 3.324
3.434 0.894 2.901
Re Mn Hf
1 1 3
Cartesian
0.150 3.087 2.491
0.000 0.000 0.000
-1.517 0.434 1.662
1.717 0.447 1.450
-0.049 2.205 -0.621
```


Below is a crystal of Hf2MnZnRe relaxed with PBEsol, with properties calculated at the SCAN level.

## Properties
* symmetry: No. 123
* DFT formation energy: 624 meV/atom

Geometry as POSCAR:
```
Hf2MnZnRe
1.0
-1.720 -3.866 0.816
1.843 -1.665 -4.003
3.907 -1.249 2.318
Re Zn Mn Hf
1 1 1 2
Cartesian
-0.860 -1.933 0.408
2.015 -3.390 -0.434
0.000 0.000 0.000
1.953 -0.624 1.159
0.922 -0.833 -2.002
```


Below is a crystal of Hf2MnRh relaxed with PBEsol, with properties calculated at the SCAN level.

## Properties
* symmetry: No. 225
* DFT formation energy: -669 meV/atom

Geometry as POSCAR:
```
Hf2MnRh
1.0
4.475 0.000 0.000
2.238 3.876 0.000
2.238 1.292 3.654
Hf Mn Rh
2 1 1
Cartesian
2.238 1.292 0.913
6.713 3.876 2.740
0.000 0.000 0.000
4.475 2.584 1.827
```


Below is a crystal of HfMnRh2 relaxed with PBEsol, with properties calculated at the SCAN level.

## Properties
* symmetry: No. 225
* DFT formation energy: -937 meV/atom

Geometry as POSCAR:
```
HfMnRh2
1.0
4.401 0.000 0.000
2.201 3.812 0.000
2.201 1.271 3.594
Rh Mn Hf
2 1 1
Cartesian
2.201 1.271 0.898
6.602 3.812 2.695
0.000 0.000 0.000
4.401 2.541 1.797
```


Below is a crystal of HfMnS2 relaxed with PBEsol, with properties calculated at the SCAN level.

## Properties
* formation energy (no corrections): -1098 meV/atom
* symmetry: No. 166

Geometry as POSCAR:
```
HfMnS2
1.0
-1.563 2.394 -1.903
-3.173 1.034 0.808
1.359 6.641 4.139
S Mn Hf
2 1 1
Cartesian
-3.864 5.059 0.242
0.487 5.009 2.803
0.000 0.000 0.000
-1.689 5.034 1.522
```


Below is a crystal of HfMnSe2 relaxed with PBEsol, with properties calculated at the SCAN level.

## Properties
* formation energy (no corrections): -273 meV/atom
* symmetry: No. 166

Geometry as POSCAR:
```
HfMnSe2
1.0
3.218 0.000 0.000
1.609 2.787 0.000
1.609 0.929 8.368
Mn Hf Se
1 1 2
Cartesian
3.218 1.858 4.184
0.000 0.000 0.000
4.828 2.787 2.660
1.609 0.929 5.708
```


Below is a crystal of HfMnSi2 relaxed with PBEsol, with properties calculated at the SCAN level.

## Properties
* formation energy (no corrections): -665 meV/atom
* symmetry: No. 55

Geometry as POSCAR:
```
HfMnSi2
1.0
-1.350 5.814 5.000
4.484 -4.352 6.272
8.161 4.329 -2.830
Hf Mn Si
12 12 24
Cartesian
3.090 0.951 8.772
7.541 7.698 2.128
7.154 0.917 3.948
4.804 2.016 2.036
8.205 4.840 -0.330
3.754 -1.907 6.314
4.140 4.874 4.494
6.491 3.775 6.406
5.675 0.679 6.806
5.619 5.112 1.636
9.025 3.553 4.368
2.270 2.238 4.073
3.680 2.906 6.690
6.944 5.774 4.236
9.916 0.740 4.867
2.049 2.162 1.090
7.615 2.885 1.752
4.351 0.017 4.206
1.378 5.051 3.575
9.245 3.629 7.352
3.075 6.493 2.307
1.897 -0.690 4.414
3.735 3.650 -0.137
1.237 2.152 6.858
5.202 2.683 8.580
5.150 7.166 3.352
9.462 1.529 2.607
2.775 0.203 2.344
6.093 3.108 -0.138
6.144 -1.375 5.089
1.833 4.262 5.835
8.520 5.588 6.098
4.836 2.210 4.799
6.459 3.581 3.643
10.819 2.528 6.045
0.476 3.263 2.397
5.484 -0.732 2.333
7.161 0.709 1.109
11.439 -0.387 3.539
1.206 0.364 -0.097
2.988 0.646 6.118
8.307 5.145 2.324
8.193 1.719 6.277
3.101 4.072 2.165
3.578 -2.214 3.541
9.067 2.190 -0.099
8.906 -1.260 3.871
3.739 1.237 -0.429
```


Below is a crystal of HfMnSi3 relaxed with PBEsol, with properties calculated at the SCAN level.

## Properties
* formation energy (no corrections): 415 meV/atom
* symmetry: No. 221

Geometry as POSCAR:
```
HfMnSi3
1.0
-0.094 4.110 -1.367
-2.374 1.094 3.455
3.623 0.824 2.229
Si Mn Hf
3 1 1
Cartesian
-1.187 0.547 1.727
1.811 0.412 1.114
-0.047 2.055 -0.683
0.000 0.000 0.000
0.577 3.014 2.158
```


Question: Number 5 is which compound?
Answer: HfMnS2